1.
DFT (PBE) results for a geometry-optimized Ac2TbTl structure.

Geometry as POSCAR:
```
Ac2TbTl
1.0
3.8147 0.0000 0.0000
1.9073 3.3036 0.0000
1.9073 1.1012 12.9093
Ac Tb Tl
2 1 1
Cartesian
1.9073 1.1012 9.4405
5.7220 3.3036 3.4688
3.8147 2.2024 6.4546
0.0000 0.0000 0.0000
```

Calculated values
**Electronic total energy**: -0.270 Ry/atom
**Space group**: R-3m

---

2.
DFT (PBE) results for a geometry-optimized Ta3FeSi structure.

Geometry as POSCAR:
```
Ta3FeSi
1.0
-3.5181 -0.6685 2.8567
2.9282 -0.5245 3.4835
-0.1813 4.5014 0.8301
Fe Ta Si
1 3 1
Cartesian
-0.3855 1.6542 3.5851
-0.0906 2.2507 0.4151
-1.7590 -0.3342 1.4283
1.4641 -0.2622 1.7417
0.0000 0.0000 0.0000
```

Calculated values
**Electronic total energy**: -0.641 Ry/atom
**Space group**: Pm-3m

---

no.,total magnetic moment (μB per cell),theoretical density (Mg/m³),Fermi-level density of states (states/eV per cell)
1,0.0,8.3,4.34
2,0.0,10.8,8.67